[1]
Li3Ca10Tl3: optimized geometry, PBE.

Output
- Formation energy from the elements: -0.16 eV per atom
- N(E_F): 16.05 states/eV/f.u.
- E_tot: -2.215 eV/atom

a b c (Å): 9.6144 9.6144 6.7088
angles (deg): 90.00 90.00 120.00
Closest atoms and distances in Å follow each position.
Space group P-62m (No. 189)
Asymmetric unit:
Li 0.0000 0.5920 0.0000 (multiplicity 3)  9 Ca 3.29-3.65
Ca 0.0000 0.2498 0.0000 (multiplicity 3)  3 Li 3.29-3.43, 2 Tl 3.61
Ca 0.0000 0.7407 0.5000 (multiplicity 3)  3 Tl 3.30-3.37, 2 Li 3.65
Ca 0.3333 0.6667 0.2602 (multiplicity 4)  2 Ca 3.22-3.49, 3 Tl 3.38, 3 Li 3.40
Tl 0.0000 0.3899 0.5000 (multiplicity 3)  9 Ca 3.30-3.61

=====

[2]
Li2Ca3Tl3: optimized geometry, PBE.

Output
- Formation energy from the elements: -0.33 eV per atom
- N(E_F): 2.77 states/eV/f.u.
- E_tot: -2.442 eV/atom

a b c (Å): 4.0282 5.3010 20.1748
angles (deg): 90.00 90.00 90.00
Closest atoms and distances in Å follow each position.
Space group Immm (No. 71)
Asymmetric unit:
Li 0.0000 0.0000 0.2419 (multiplicity 4)  2 Tl 2.84
Ca 0.0000 0.0000 0.0000 (multiplicity 2)  8 Tl 3.33-3.52
Ca 0.0000 0.5000 0.1306 (multiplicity 4)  4 Li 3.27-3.47, 6 Tl 3.32-3.34
Tl 0.0000 0.0000 0.5000 (multiplicity 2)  8 Ca 3.32-3.33
Tl 0.0000 0.5000 0.3570 (multiplicity 4)  2 Li 2.84